VASP calculation (PBE) on YErCBr after structural relaxation.

The calculation puts the electronic total energy at -6.43 eV/atom. The space-group type is No. 160. The uncorrected formation energy is -0.949 eV per atom.

The structure in extended XYZ format:
```
12
Lattice="3.6726 0.0000 0.0000 -1.8363 3.1805 0.0000 0.0000 0.0000 21.2603" Properties=species:S:1:pos:R:3 pbc="T T T"
Y 0.0000 0.0000 0.0000
Y 0.0000 2.1203 14.1735
Y 1.8363 1.0602 7.0868
Er 0.0000 0.0000 16.7058
Er 0.0000 2.1203 9.6191
Er 1.8363 1.0602 2.5323
C 0.0000 0.0000 8.4361
C 0.0000 2.1203 1.3493
C 1.8363 1.0602 15.5228
Br 0.0000 0.0000 4.7801
Br 0.0000 2.1203 18.9537
Br 1.8363 1.0602 11.8669
```